Tb8CdAu2: optimized geometry, PBE-GGA.

It has space group C2/m (No. 12), with a = 18.0246 Å, b = 5.1476 Å, c = 7.0646 Å, α = 90.00°, β = 106.90° and γ = 90.00°. The distinct sites, in fractional coordinates, are Tb at (0.0308, 0.0000, 0.2676), Tb at (0.0925, 0.5000, 0.9668), Tb at (0.1714, 0.5000, 0.4732), Tb at (0.1966, 0.0000, 0.8203), Cd at (0.0000, 0.5000, 0.5000) and Au at (0.1847, 0.0000, 0.2194).

The magnetic moment comes out at 0.00 μB per cell. For the uncorrected energy, the calculation gives -96.847 eV for the cell shown. The calculation puts the formation energy at -356 meV per atom.